# PBE BaB2Au, relaxed
data_BaB2Au
_space_group_name_H-M_alt 'F -4 3 m'
_space_group_IT_number 216
_space_group_name_Hall 'F -4 2 3'
_cell_length_a 6.8951
_cell_length_b 6.8951
_cell_length_c 6.8951
_cell_angle_alpha 90.00
_cell_angle_beta 90.00
_cell_angle_gamma 90.00
loop_
_atom_site_label
_atom_site_fract_x
_atom_site_fract_y
_atom_site_fract_z
_atom_site_occupancy
Ba1 0.0000 0.0000 0.0000 1
B1 0.0000 0.0000 0.5000 1
B2 0.2500 0.2500 0.7500 1
Au1 0.2500 0.2500 0.2500 1
# uncorrected energy: -3.149 eV/atom



# PBE BaBAu, relaxed
data_BaBAu
_space_group_name_H-M_alt 'F -4 3 m'
_space_group_IT_number 216
_space_group_name_Hall 'F -4 2 3'
_cell_length_a 6.7056
_cell_length_b 6.7056
_cell_length_c 6.7056
_cell_angle_alpha 90.00
_cell_angle_beta 90.00
_cell_angle_gamma 90.00
loop_
_atom_site_label
_atom_site_fract_x
_atom_site_fract_y
_atom_site_fract_z
_atom_site_occupancy
Ba1 0.0000 0.0000 0.0000 1
B1 0.2500 0.2500 0.7500 1
Au1 0.0000 0.0000 0.5000 1
# ΔE to the lowest computed polymorph: 0.0 meV per atom



# PBE BaBAu, relaxed
data_BaBAu
_space_group_name_H-M_alt 'F -4 3 m'
_space_group_IT_number 216
_space_group_name_Hall 'F -4 2 3'
_cell_length_a 7.2655
_cell_length_b 7.2655
_cell_length_c 7.2655
_cell_angle_alpha 90.00
_cell_angle_beta 90.00
_cell_angle_gamma 90.00
loop_
_atom_site_label
_atom_site_fract_x
_atom_site_fract_y
_atom_site_fract_z
_atom_site_occupancy
Ba1 0.0000 0.0000 0.0000 1
B1 0.2500 0.2500 0.2500 1
Au1 0.2500 0.2500 0.7500 1
# ΔE to the lowest computed polymorph: 488.4 meV per atom



# PBE BaB4Au, relaxed
data_BaB4Au
_space_group_name_H-M_alt 'P 6/m m m'
_space_group_IT_number 191
_space_group_name_Hall '-P 6 2'
_cell_length_a 3.2381
_cell_length_b 3.2381
_cell_length_c 8.2792
_cell_angle_alpha 90.00
_cell_angle_beta 90.00
_cell_angle_gamma 120.00
loop_
_atom_site_label
_atom_site_fract_x
_atom_site_fract_y
_atom_site_fract_z
_atom_site_occupancy
Ba1 0.0000 0.0000 0.0000 1
B1 0.3333 0.6667 0.2885 1
Au1 0.0000 0.0000 0.5000 1
# ΔE to the lowest computed polymorph: 49.5 meV per atom



# PBE BaCdBAu, relaxed
data_BaCdBAu
_space_group_name_H-M_alt 'F -4 3 m'
_space_group_IT_number 216
_space_group_name_Hall 'F -4 2 3'
_cell_length_a 7.3483
_cell_length_b 7.3483
_cell_length_c 7.3483
_cell_angle_alpha 90.00
_cell_angle_beta 90.00
_cell_angle_gamma 90.00
loop_
_atom_site_label
_atom_site_fract_x
_atom_site_fract_y
_atom_site_fract_z
_atom_site_occupancy
Ba1 0.0000 0.0000 0.0000 1
Cd1 0.2500 0.2500 0.2500 1
B1 0.0000 0.0000 0.5000 1
Au1 0.2500 0.2500 0.7500 1
# ΔE to the lowest computed polymorph: 231.2 meV per atom



# PBE BaCdBAu, relaxed
data_BaCdBAu
_space_group_name_H-M_alt 'F -4 3 m'
_space_group_IT_number 216
_space_group_name_Hall 'F -4 2 3'
_cell_length_a 7.2580
_cell_length_b 7.2580
_cell_length_c 7.2580
_cell_angle_alpha 90.00
_cell_angle_beta 90.00
_cell_angle_gamma 90.00
loop_
_atom_site_label
_atom_site_fract_x
_atom_site_fract_y
_atom_site_fract_z
_atom_site_occupancy
Ba1 0.0000 0.0000 0.0000 1
Cd1 0.0000 0.0000 0.5000 1
B1 0.2500 0.2500 0.2500 1
Au1 0.2500 0.2500 0.7500 1
# ΔE to the lowest computed polymorph: 0.0 meV per atom



# PBE BaMgBAu, relaxed
data_BaMgBAu
_space_group_name_H-M_alt 'F -4 3 m'
_space_group_IT_number 216
_space_group_name_Hall 'F -4 2 3'
_cell_length_a 7.1993
_cell_length_b 7.1993
_cell_length_c 7.1993
_cell_angle_alpha 90.00
_cell_angle_beta 90.00
_cell_angle_gamma 90.00
loop_
_atom_site_label
_atom_site_fract_x
_atom_site_fract_y
_atom_site_fract_z
_atom_site_occupancy
Ba1 0.0000 0.0000 0.0000 1
Mg1 0.0000 0.0000 0.5000 1
B1 0.2500 0.2500 0.2500 1
Au1 0.2500 0.2500 0.7500 1
# ΔE to the lowest computed polymorph: 0.0 meV per atom



# PBE BaMgBAu, relaxed
data_BaMgBAu
_space_group_name_H-M_alt 'F -4 3 m'
_space_group_IT_number 216
_space_group_name_Hall 'F -4 2 3'
_cell_length_a 7.1513
_cell_length_b 7.1513
_cell_length_c 7.1513
_cell_angle_alpha 90.00
_cell_angle_beta 90.00
_cell_angle_gamma 90.00
loop_
_atom_site_label
_atom_site_fract_x
_atom_site_fract_y
_atom_site_fract_z
_atom_site_occupancy
Ba1 0.0000 0.0000 0.0000 1
Mg1 0.2500 0.2500 0.2500 1
B1 0.0000 0.0000 0.5000 1
Au1 0.2500 0.2500 0.7500 1
# ΔE to the lowest computed polymorph: 299.7 meV per atom



# PBE Be2BAu, relaxed
data_Be2BAu
_space_group_name_H-M_alt 'F -4 3 m'
_space_group_IT_number 216
_space_group_name_Hall 'F -4 2 3'
_cell_length_a 5.4614
_cell_length_b 5.4614
_cell_length_c 5.4614
_cell_angle_alpha 90.00
_cell_angle_beta 90.00
_cell_angle_gamma 90.00
loop_
_atom_site_label
_atom_site_fract_x
_atom_site_fract_y
_atom_site_fract_z
_atom_site_occupancy
Be1 0.0000 0.0000 0.0000 1
Be2 0.2500 0.2500 0.2500 1
B1 0.0000 0.0000 0.5000 1
Au1 0.2500 0.2500 0.7500 1
# uncorrected energy: -3.753 eV/atom



# PBE BeBAu2, relaxed
data_BeBAu2
_space_group_name_H-M_alt 'F -4 3 m'
_space_group_IT_number 216
_space_group_name_Hall 'F -4 2 3'
_cell_length_a 6.0854
_cell_length_b 6.0854
_cell_length_c 6.0854
_cell_angle_alpha 90.00
_cell_angle_beta 90.00
_cell_angle_gamma 90.00
loop_
_atom_site_label
_atom_site_fract_x
_atom_site_fract_y
_atom_site_fract_z
_atom_site_occupancy
Be1 0.0000 0.0000 0.0000 1
B1 0.2500 0.2500 0.7500 1
Au1 0.0000 0.0000 0.5000 1
Au2 0.2500 0.2500 0.2500 1
# uncorrected energy: -3.311 eV/atom



# PBE BeCuBAu, relaxed
data_BeCuBAu
_space_group_name_H-M_alt 'F -4 3 m'
_space_group_IT_number 216
_space_group_name_Hall 'F -4 2 3'
_cell_length_a 5.5919
_cell_length_b 5.5919
_cell_length_c 5.5919
_cell_angle_alpha 90.00
_cell_angle_beta 90.00
_cell_angle_gamma 90.00
loop_
_atom_site_label
_atom_site_fract_x
_atom_site_fract_y
_atom_site_fract_z
_atom_site_occupancy
Be1 0.0000 0.0000 0.0000 1
Cu1 0.2500 0.2500 0.7500 1
B1 0.0000 0.0000 0.5000 1
Au1 0.2500 0.2500 0.2500 1
# ΔE to the lowest computed polymorph: 0.0 meV per atom



# PBE BeCuBAu, relaxed
data_BeCuBAu
_space_group_name_H-M_alt 'F -4 3 m'
_space_group_IT_number 216
_space_group_name_Hall 'F -4 2 3'
_cell_length_a 5.7104
_cell_length_b 5.7104
_cell_length_c 5.7104
_cell_angle_alpha 90.00
_cell_angle_beta 90.00
_cell_angle_gamma 90.00
loop_
_atom_site_label
_atom_site_fract_x
_atom_site_fract_y
_atom_site_fract_z
_atom_site_occupancy
Be1 0.0000 0.0000 0.0000 1
Cu1 0.0000 0.0000 0.5000 1
B1 0.2500 0.2500 0.2500 1
Au1 0.2500 0.2500 0.7500 1
# ΔE to the lowest computed polymorph: 240.0 meV per atom